No. 1
The following is a DFT calculation (GGA-PBEsol) of an optimized crystal structure of Na3Sc2P3O12.

Cell lengths 15.457, 8.980, 9.002 Å; angles 90.00, 125.59, 90.00 degrees
Space group C2/c (No. 15)
Symmetry-distinct sites (fractional):
Na 0.177 0.071 0.112 [8 per cell]
Na 0.250 0.250 0.500 [4 per cell]
Sc 0.101 0.257 0.647 [8 per cell]
P 0.000 0.046 0.250 [4 per cell]
P 0.153 0.403 0.039 [8 per cell]
O 0.046 0.337 0.979 [8 per cell]
O 0.069 0.053 0.715 [8 per cell]
O 0.078 0.142 0.419 [8 per cell]
O 0.161 0.427 0.571 [8 per cell]
O 0.173 0.370 0.893 [8 per cell]
O 0.239 0.328 0.224 [8 per cell]

## Properties
Formation energy without anion corrections: -2.673 eV/atom
Total magnetic moment: 0.00 Bohr magnetons per cell
Energy relative to the lowest polymorph listed for this composition: 0.0021 eV/atom


No. 2
The following is a DFT calculation (GGA-PBEsol) of an optimized crystal structure of Gd3MnGaS7.

Cell lengths 9.6072, 9.6072, 6.0289 Å; angles 90.00, 90.00, 120.00 degrees
Space group P6_3 (No. 173)
Symmetry-distinct sites (fractional):
Gd 0.1533 0.7772 0.0000 [6 per cell]
Mn 0.0000 0.0000 0.1948 [2 per cell]
Ga 0.3333 0.6667 0.5778 [2 per cell]
S 0.0865 0.5187 0.7337 [6 per cell]
S 0.1034 0.8589 0.4269 [6 per cell]
S 0.3333 0.6667 0.2070 [2 per cell]

## Properties
Formation energy without anion corrections: -1.569 eV/atom
Total magnetic moment: 52.00 Bohr magnetons per cell


No. 3
The following is a DFT calculation (GGA-PBEsol) of an optimized crystal structure of Ta2CrOs.

Cell lengths 3.123, 4.301, 4.492 Å; angles 90.00, 90.00, 90.00 degrees
Space group Pmmm (No. 47)
Symmetry-distinct sites (fractional):
Ta 0.000 0.000 0.000 [1 per cell]
Ta 0.500 0.000 0.500 [1 per cell]
Cr 0.000 0.500 0.500 [1 per cell]
Os 0.500 0.500 0.000 [1 per cell]

## Properties
Total magnetic moment: 0.01 Bohr magnetons per cell
Energy relative to the lowest polymorph listed for this composition: 0.2440 eV/atom
Energy of formation: -4.8 kJ/mol of atoms


No. 4
The following is a DFT calculation (GGA-PBEsol) of an optimized crystal structure of ScMn2Te.

Cell lengths 4.012, 4.012, 8.258 Å; angles 90.00, 90.00, 90.00 degrees
Space group I4/mmm (No. 139)
Symmetry-distinct sites (fractional):
Sc 0.000 0.000 0.000 [2 per cell]
Mn 0.000 0.500 0.250 [4 per cell]
Te 0.000 0.000 0.500 [2 per cell]

## Properties
Formation energy without anion corrections: 0.026 eV/atom
Total magnetic moment: 11.19 Bohr magnetons per cell